Entry from Alexandria via LeMat-Bulk: Ac2TbPrS4 after structural relaxation (GGA-PBE).

Cell and atoms, written as POSCAR:
```
Ac2TbPrS4
1.0
7.179 0.000 0.000
0.000 4.105 0.000
-2.359 0.000 6.916
Ac Tb Pr S
2 1 1 4
Direct
0.000 0.000 0.000 Ac
0.500 0.500 0.000 Ac
0.000 0.500 0.500 Tb
0.500 0.000 0.500 Pr
0.234 0.000 0.726 S
0.248 0.500 0.268 S
0.752 0.500 0.732 S
0.766 0.000 0.274 S
```

total DFT energy (no corrections): -50.11 eV per cell

=====

Entry from Alexandria via LeMat-Bulk: PmScCd5 after structural relaxation (GGA-PBE).

Cell and atoms, written as POSCAR:
```
PmScCd5
1.0
5.059 0.000 0.000
0.000 5.059 0.000
0.000 0.000 6.879
Pm Sc Cd
1 1 5
Direct
0.000 0.000 0.000 Pm
0.500 0.500 0.500 Sc
0.000 0.500 0.282 Cd
0.000 0.500 0.718 Cd
0.500 0.000 0.282 Cd
0.500 0.000 0.718 Cd
0.500 0.500 0.000 Cd
```

formation energy from the elements: -0.108 eV per atom

=====

Entry from Alexandria via LeMat-Bulk: La2TiTl3Se6 after structural relaxation (GGA-PBE).

Cell and atoms, written as POSCAR:
```
La2TiTl3Se6
1.0
3.663 -6.333 0.000
3.663 6.333 0.000
-2.463 0.000 7.708
La Ti Tl Se
2 1 3 6
Direct
0.165 0.835 0.000 La
0.835 0.165 0.000 La
0.500 0.500 0.000 Ti
0.000 0.000 0.500 Tl
0.328 0.672 0.500 Tl
0.672 0.328 0.500 Tl
0.133 0.434 0.800 Se
0.267 0.267 0.212 Se
0.434 0.133 0.800 Se
0.566 0.867 0.200 Se
0.733 0.733 0.788 Se
0.867 0.566 0.200 Se
```

total DFT energy (no corrections): -60.19 eV per cell

=====

Entry from Alexandria via LeMat-Bulk: SrFeAs2 after structural relaxation (GGA-PBE).

Cell and atoms, written as POSCAR:
```
SrFeAs2
1.0
4.224 0.000 0.000
0.000 1.990 5.829
0.000 -1.990 5.829
Sr Fe As
1 1 2
Direct
0.000 0.000 0.000 Sr
0.500 0.224 0.224 Fe
0.000 0.288 0.288 As
0.500 0.624 0.624 As
```

formation energy from the elements: -0.341 eV per atom

=====

Entry from Alexandria via LeMat-Bulk: Ba2HoIr3O12 after structural relaxation (GGA-PBE).

Cell and atoms, written as POSCAR:
```
Ba2HoIr3O12
1.0
3.648 2.106 5.626
-3.648 2.106 5.626
0.000 -4.212 5.626
Ba Ho Ir O
2 1 3 12
Direct
0.114 0.114 0.114 Ba
0.886 0.886 0.886 Ba
0.500 0.500 0.500 Ho
0.000 0.500 0.500 Ir
0.500 0.000 0.500 Ir
0.500 0.500 0.000 Ir
0.113 0.614 0.614 O
0.194 0.194 0.617 O
0.194 0.617 0.194 O
0.383 0.806 0.806 O
0.386 0.386 0.887 O
0.386 0.887 0.386 O
0.614 0.113 0.614 O
0.614 0.614 0.113 O
0.617 0.194 0.194 O
0.806 0.383 0.806 O
0.806 0.806 0.383 O
0.887 0.386 0.386 O
```

total DFT energy (no corrections): -122.18 eV per cell

=====

Entry from Alexandria via LeMat-Bulk: LuPuSiAg after structural relaxation (GGA-PBE).

Cell and atoms, written as POSCAR:
```
LuPuSiAg
1.0
0.000 3.547 3.547
3.547 0.000 3.547
3.547 3.547 0.000
Lu Pu Si Ag
1 1 1 1
Direct
0.000 0.000 0.000 Lu
0.500 0.500 0.500 Pu
0.250 0.250 0.250 Si
0.750 0.750 0.750 Ag
```

total DFT energy (no corrections): -28.18 eV per cell